Entry 1:
A relaxed structure of As2IrBrO. Source: Alexandria via LeMat-Bulk, functional PBE.

a = 4.718 Å, b = 4.718 Å, c = 5.446 Å
α = 90.00°, β = 90.00°, γ = 90.00°
Fractional positions:
As 0.000 0.500 0.000
As 0.500 0.000 0.000
Ir 0.000 0.000 0.000
Br 0.000 0.000 0.500
O 0.500 0.500 0.500

- Formation energy without anion corrections: 0.869 eV/atom
- VASP energy: -20.4 eV/cell
- Offset from the most stable computed form: 0.1260 eV/atom
- SG: P4/mmm
- ρ: 6.00 g cm⁻³
- Fermi-level density of states: 1.251 states/eV per atom

---

Entry 2:
A relaxed structure of AsIrOsBr2. Source: Alexandria via LeMat-Bulk, functional PBE.

a = 5.078 Å, b = 5.078 Å, c = 4.678 Å
α = 90.00°, β = 90.00°, γ = 90.00°
Fractional positions:
As 0.000 0.000 0.000
Ir 0.500 0.500 0.000
Os 0.000 0.000 0.500
Br 0.000 0.500 0.500
Br 0.500 0.000 0.500

- Formation energy without anion corrections: 1.509 eV/atom
- VASP energy: -20.5 eV/cell
- SG: P4/mmm
- ρ: 8.50 g cm⁻³
- Fermi-level density of states: 1.574 states/eV per atom

---

Entry 3:
A relaxed structure of AsIrOs2Br. Source: Alexandria via LeMat-Bulk, functional PBE.

a = 4.507 Å, b = 4.507 Å, c = 4.805 Å
α = 90.00°, β = 90.00°, γ = 90.00°
Fractional positions:
As 0.000 0.000 0.000
Ir 0.500 0.500 0.000
Os 0.000 0.500 0.500
Os 0.500 0.000 0.500
Br 0.000 0.000 0.500

- Formation energy without anion corrections: 2.547 eV/atom
- VASP energy: -24.9 eV/cell
- SG: P4/mmm
- ρ: 12.37 g cm⁻³
- Fermi-level density of states: 0.861 states/eV per atom

---

Entry 4:
A relaxed structure of As2PIrBr. Source: Alexandria via LeMat-Bulk, functional PBE.

a = 4.720 Å, b = 4.720 Å, c = 4.686 Å
α = 90.00°, β = 90.00°, γ = 90.00°
Fractional positions:
As 0.000 0.500 0.000
As 0.500 0.000 0.000
P 0.000 0.000 0.000
Ir 0.500 0.500 0.500
Br 0.000 0.000 0.500

- Formation energy without anion corrections: 1.277 eV/atom
- VASP energy: -18.9 eV/cell
- Offset from the most stable computed form: 0.4038 eV/atom
- SG: P4/mmm
- ρ: 7.21 g cm⁻³
- Fermi-level density of states: 0.817 states/eV per atom

---

Entry 5:
A relaxed structure of As2PIrBr. Source: Alexandria via LeMat-Bulk, functional PBE.

a = 4.765 Å, b = 4.765 Å, c = 5.167 Å
α = 90.00°, β = 90.00°, γ = 90.00°
Fractional positions:
As 0.000 0.500 0.000
As 0.500 0.000 0.000
P 0.000 0.000 0.500
Ir 0.500 0.500 0.000
Br 0.500 0.500 0.500

- Formation energy without anion corrections: 0.873 eV/atom
- VASP energy: -20.9 eV/cell
- Offset from the most stable computed form: 0.0000 eV/atom
- SG: P4/mmm
- ρ: 6.41 g cm⁻³
- Fermi-level density of states: 1.165 states/eV per atom

---

Entry 6:
A relaxed structure of AsIrPbBr2. Source: Alexandria via LeMat-Bulk, functional PBE.

a = 5.610 Å, b = 5.610 Å, c = 5.757 Å
α = 90.00°, β = 90.00°, γ = 90.00°
Fractional positions:
As 0.000 0.000 0.000
Ir 0.500 0.500 0.000
Pb 0.000 0.000 0.500
Br 0.000 0.500 0.500
Br 0.500 0.000 0.500

- Formation energy without anion corrections: 1.303 eV/atom
- VASP energy: -14.1 eV/cell
- Offset from the most stable computed form: 1.1147 eV/atom
- SG: P4/mmm
- ρ: 5.81 g cm⁻³
- Fermi-level density of states: 1.393 states/eV per atom

---

Entry 7:
A relaxed structure of AsIrPbBr2. Source: Alexandria via LeMat-Bulk, functional PBE.

a = 5.301 Å, b = 5.301 Å, c = 4.716 Å
α = 90.00°, β = 90.00°, γ = 90.00°
Fractional positions:
As 0.000 0.000 0.000
Ir 0.000 0.000 0.500
Pb 0.500 0.500 0.000
Br 0.000 0.500 0.500
Br 0.500 0.000 0.500

- Formation energy without anion corrections: 0.188 eV/atom
- VASP energy: -19.6 eV/cell
- Offset from the most stable computed form: 0.0000 eV/atom
- SG: P4/mmm
- ρ: 7.95 g cm⁻³
- Fermi-level density of states: 0.822 states/eV per atom

---

Entry 8:
A relaxed structure of As2IrPdBr. Source: Alexandria via LeMat-Bulk, functional PBE.

a = 4.716 Å, b = 4.716 Å, c = 5.371 Å
α = 90.00°, β = 90.00°, γ = 90.00°
Fractional positions:
As 0.000 0.500 0.000
As 0.500 0.000 0.000
Ir 0.000 0.000 0.000
Pd 0.500 0.500 0.500
Br 0.000 0.000 0.500

- Formation energy without anion corrections: 0.667 eV/atom
- VASP energy: -21.7 eV/cell
- Offset from the most stable computed form: 0.0000 eV/atom
- SG: P4/mmm
- ρ: 7.34 g cm⁻³
- Fermi-level density of states: 0.984 states/eV per atom

---

Entry 9:
A relaxed structure of Pr4AsIrBr2. Source: Alexandria via LeMat-Bulk, functional PBE.

a = 7.701 Å, b = 4.168 Å, c = 7.868 Å
α = 90.00°, β = 107.35°, γ = 90.00°
Fractional positions:
Pr 0.215 0.000 0.198
Pr 0.255 0.500 0.792
Pr 0.745 0.500 0.208
Pr 0.785 0.000 0.802
As 0.500 0.000 0.000
Ir 0.000 0.500 0.000
Br 0.000 0.000 0.500
Br 0.500 0.500 0.500

- Formation energy without anion corrections: -1.221 eV/atom
- VASP energy: -45.7 eV/cell
- SG: P2/m
- ρ: 6.82 g cm⁻³
- Fermi-level density of states: 0.710 states/eV per atom

---

Entry 10:
A relaxed structure of AsIr2PtBr. Source: Alexandria via LeMat-Bulk, functional PBE.

a = 4.652 Å, b = 4.652 Å, c = 4.747 Å
α = 90.00°, β = 90.00°, γ = 90.00°
Fractional positions:
As 0.000 0.000 0.000
Ir 0.000 0.500 0.500
Ir 0.500 0.000 0.500
Pt 0.500 0.500 0.000
Br 0.500 0.500 0.500

- Formation energy without anion corrections: 1.728 eV/atom
- VASP energy: -21.4 eV/cell
- SG: P4/mmm
- ρ: 11.87 g cm⁻³
- Fermi-level density of states: 1.188 states/eV per atom

---

Entry 11:
A relaxed structure of As2IrPtBr. Source: Alexandria via LeMat-Bulk, functional PBE.

a = 4.724 Å, b = 4.724 Å, c = 5.166 Å
α = 90.00°, β = 90.00°, γ = 90.00°
Fractional positions:
As 0.000 0.500 0.000
As 0.500 0.000 0.000
Ir 0.000 0.000 0.000
Pt 0.500 0.500 0.500
Br 0.000 0.000 0.500

- Formation energy without anion corrections: 0.873 eV/atom
- VASP energy: -21.5 eV/cell
- Offset from the most stable computed form: 0.0000 eV/atom
- SG: P4/mmm
- ρ: 8.89 g cm⁻³
- Fermi-level density of states: 1.066 states/eV per atom

---

Entry 12:
A relaxed structure of AsIrPtBr2. Source: Alexandria via LeMat-Bulk, functional PBE.

a = 5.157 Å, b = 5.157 Å, c = 4.634 Å
α = 90.00°, β = 90.00°, γ = 90.00°
Fractional positions:
As 0.000 0.000 0.000
Ir 0.000 0.000 0.500
Pt 0.500 0.500 0.000
Br 0.000 0.500 0.500
Br 0.500 0.000 0.500

- Formation energy without anion corrections: 0.944 eV/atom
- VASP energy: -18.2 eV/cell
- Offset from the most stable computed form: 0.0000 eV/atom
- SG: P4/mmm
- ρ: 8.38 g cm⁻³
- Fermi-level density of states: 1.656 states/eV per atom